No. 1
A relaxed structure of Pr3Sm2Tl6. Source: the Alexandria database, functional PBE.

It has space group I4/mmm (No. 139), with a = 5.9996 Å, b = 5.9996 Å, c = 22.8638 Å, α = 90.00°, β = 90.00° and γ = 90.00°. The inequivalent atoms are Pr at (0.0000, 0.0000, 0.0000), Pr at (0.0000, 0.0000, 0.1473), Sm at (0.0000, 0.0000, 0.4240), Tl at (0.0000, 0.0000, 0.2868) and Tl at (0.0000, 0.5000, 0.0727).

The calculation puts the formation energy at 0.0449 eV per atom.


No. 2
A relaxed structure of SrTa2NbO8. Source: the Alexandria database, functional PBE.

It has space group C2/m (No. 12), with a = 7.2642 Å, b = 6.7976 Å, c = 6.6248 Å, α = 90.00°, β = 93.23° and γ = 90.00°. The inequivalent atoms are Sr at (0.0000, 0.0000, 0.0000), Ta at (0.0270, 0.5000, 0.2517), Nb at (0.0000, 0.0000, 0.5000), O at (0.0130, 0.2172, 0.7108), O at (0.1690, 0.5000, 0.0186) and O at (0.2005, 0.5000, 0.4862).

Its uncorrected formation energy is -2.697 eV per atom.


No. 3
A relaxed structure of CaGd2Ho. Source: the Alexandria database, functional PBE.

It has space group P4/mmm (No. 123), with a = 5.1479 Å, b = 5.1479 Å, c = 5.1056 Å, α = 90.00°, β = 90.00° and γ = 90.00°. The inequivalent atoms are Ca at (0.0000, 0.0000, 0.0000), Gd at (0.0000, 0.5000, 0.5000) and Ho at (0.5000, 0.5000, 0.0000).

The calculation puts the formation energy at 0.1195 eV per atom.


No. 4
A relaxed structure of TaMn2Au. Source: the Alexandria database, functional PBE.

It has space group I-42d (No. 122), with a = 3.8266 Å, b = 3.8266 Å, c = 17.9490 Å, α = 90.00°, β = 90.00° and γ = 90.00°. The inequivalent atoms are Ta at (0.0000, 0.0000, 0.0000), Mn at (0.1582, 0.2500, 0.1250) and Au at (0.0000, 0.0000, 0.5000).

The calculation puts the formation energy at 0.7449 eV per atom.


No. 5
A relaxed structure of Ta2Al2In. Source: the Alexandria database, functional PBE.

It has space group I4/mmm (No. 139), with a = 3.7830 Å, b = 3.7830 Å, c = 13.5081 Å, α = 90.00°, β = 90.00° and γ = 90.00°. The inequivalent atoms are Ta at (0.0000, 0.0000, 0.0974), Al at (0.0000, 0.5000, 0.2500) and In at (0.0000, 0.0000, 0.5000).

The calculation puts the formation energy at 0.3174 eV per atom.


No. 6
A relaxed structure of RbGaC. Source: the Alexandria database, functional PBE.

It has space group Cm (No. 8), with a = 13.2731 Å, b = 4.6361 Å, c = 6.3101 Å, α = 90.00°, β = 98.40° and γ = 90.00°. The inequivalent atoms are Rb at (0.0000, 0.0000, 0.0000), Rb at (0.2058, 0.5000, 0.5737), Ga at (0.2872, 0.0000, 0.1616), Ga at (0.4271, 0.0000, 0.4772) and C at (0.2190, 0.3638, 0.0687).

The calculation puts the formation energy at 0.3413 eV per atom.


No. 7
A relaxed structure of HgCN2. Source: the Alexandria database, functional PBE.

It has space group I-42d (No. 122), with a = 4.6794 Å, b = 4.6794 Å, c = 6.9856 Å, α = 90.00°, β = 90.00° and γ = 90.00°. The inequivalent atoms are Hg at (0.0000, 0.0000, 0.0000), C at (0.0000, 0.0000, 0.5000) and N at (0.1140, 0.2500, 0.6250).

Its uncorrected formation energy is 1.152 eV per atom.


No. 8
A relaxed structure of AlCoSe2. Source: the Alexandria database, functional PBE.

It has space group P4mm (No. 99), with a = 3.4103 Å, b = 3.4103 Å, c = 6.9262 Å, α = 90.00°, β = 90.00° and γ = 90.00°. The inequivalent atoms are Al at (0.0000, 0.0000, 0.0000), Co at (0.5000, 0.5000, 0.2318), Se at (0.0000, 0.0000, 0.3524) and Se at (0.5000, 0.5000, 0.8649).

Its uncorrected formation energy is -0.229 eV per atom.


Total energy values (in eV per cell) by entry order: -74.96 -214.98 -34.26 -121.96 -64.68 -48.78 -86.27 -18.73.